(1)
CoP2SeS: optimized geometry, PBE.

Lattice parameters (Å, degrees): 4.253 4.253 4.768 90.00 90.00 90.00
Fractional coordinates of all 5 atoms:
P (0.000, 0.500, 0.000)
P (0.500, 0.000, 0.000)
S (0.000, 0.000, 0.500)
Co (0.000, 0.000, 0.000)
Se (0.500, 0.500, 0.500)

Results
Final energy = -22.72 eV per cell
Volume = 86 Å³/cell
Uncorrected formation energy = 0.56 eV per atom


(2)
CoPSeS2: optimized geometry, PBE.

Lattice parameters (Å, degrees): 4.476 4.476 4.280 90.00 90.00 90.00
Fractional coordinates of all 5 atoms:
P (0.000, 0.000, 0.500)
S (0.000, 0.500, 0.000)
S (0.500, 0.000, 0.000)
Co (0.000, 0.000, 0.000)
Se (0.500, 0.500, 0.500)

Results
Final energy = -21.46 eV per cell
Volume = 86 Å³/cell
Uncorrected formation energy = 0.56 eV per atom


(3)
CoSi2PS: optimized geometry, PBE.

Lattice parameters (Å, degrees): 4.429 4.177 4.429 90.00 90.00 90.00
Fractional coordinates of all 5 atoms:
P (0.000, 0.500, 0.000)
S (0.500, 0.500, 0.500)
Co (0.000, 0.000, 0.000)
Si (0.000, 0.000, 0.500)
Si (0.500, 0.000, 0.000)

Results
Final energy = -25.86 eV per cell
Volume = 82 Å³/cell
Uncorrected formation energy = 0.33 eV per atom


(4)
CoSnPS2: optimized geometry, PBE.

Lattice parameters (Å, degrees): 4.799 4.799 4.110 90.00 90.00 90.00
Fractional coordinates of all 5 atoms:
P (0.000, 0.000, 0.500)
S (0.000, 0.500, 0.000)
S (0.500, 0.000, 0.000)
Co (0.000, 0.000, 0.000)
Sn (0.500, 0.500, 0.500)

Results
Final energy = -23.74 eV per cell
Volume = 95 Å³/cell
Uncorrected formation energy = 0.21 eV per atom


(5)
CoSnPS2: optimized geometry, PBE.

Lattice parameters (Å, degrees): 4.985 4.985 4.989 90.00 90.00 90.00
Fractional coordinates of all 5 atoms:
P (0.000, 0.000, 0.500)
S (0.000, 0.500, 0.000)
S (0.500, 0.000, 0.000)
Co (0.500, 0.500, 0.500)
Sn (0.000, 0.000, 0.000)

Results
Final energy = -18.84 eV per cell
Volume = 124 Å³/cell
Uncorrected formation energy = 1.19 eV per atom


(6)
SrCoPS2: optimized geometry, PBE.

Lattice parameters (Å, degrees): 4.885 4.885 4.117 90.00 90.00 90.00
Fractional coordinates of all 5 atoms:
Sr (0.500, 0.500, 0.500)
S (0.000, 0.500, 0.000)
S (0.500, 0.000, 0.000)
Co (0.000, 0.000, 0.000)
P (0.000, 0.000, 0.500)

Results
Final energy = -25.31 eV per cell
Volume = 98 Å³/cell
Uncorrected formation energy = -0.57 eV per atom


(7)
SrCoP2S8: optimized geometry, PBE.

Lattice parameters (Å, degrees): 5.767 5.767 8.493 90.00 90.00 120.00
Fractional coordinates of all 12 atoms:
Sr (0.000, 0.000, 0.000)
Co (0.000, 0.000, 0.500)
P (0.667, 0.333, 0.276)
P (0.333, 0.667, 0.724)
S (0.333, 0.667, 0.963)
S (0.304, 0.314, 0.333)
S (0.686, 0.990, 0.333)
S (0.667, 0.333, 0.037)
S (0.314, 0.010, 0.667)
S (0.696, 0.686, 0.667)
S (0.990, 0.304, 0.667)
S (0.010, 0.696, 0.333)

Results
Final energy = -58.09 eV per cell
Volume = 245 Å³/cell
Uncorrected formation energy = -0.46 eV per atom


(8)
SrCoPS2: optimized geometry, PBE.

Lattice parameters (Å, degrees): 5.512 5.512 5.646 90.00 90.00 90.00
Fractional coordinates of all 5 atoms:
Sr (0.000, 0.000, 0.000)
S (0.000, 0.500, 0.000)
S (0.500, 0.000, 0.000)
Co (0.500, 0.500, 0.500)
P (0.000, 0.000, 0.500)

Results
Final energy = -16.20 eV per cell
Volume = 172 Å³/cell
Uncorrected formation energy = 1.25 eV per atom